Entry 1:
## Pr4InTe5 (PBE-GGA)

Data for a relaxed structure of Pr4InTe5. Values from VASP.

Geometry as Quantum ESPRESSO input:
```
&SYSTEM
  ibrav = 0, nat = 10, ntyp = 3
/
ATOMIC_SPECIES
Pr 140.91 Pr.upf
In 114.82 In.upf
Te 127.60 Te.upf
CELL_PARAMETERS angstrom
4.525 0.000 0.000
2.263 3.919 0.000
2.263 1.306 19.317
ATOMIC_POSITIONS crystal
Pr 0.904 0.904 0.289
Pr 0.301 0.301 0.097
Pr 0.699 0.699 0.903
Pr 0.096 0.096 0.711
In 0.500 0.500 0.500
Te 0.398 0.398 0.807
Te 0.000 0.000 0.000
Te 0.602 0.602 0.193
Te 0.795 0.795 0.614
Te 0.205 0.205 0.386
```

Results
total energy: -5.019 eV/atom
M_tot: 0.00 μB per formula unit



Entry 2:
## PrIn2Te (PBE-GGA)

Data for a relaxed structure of PrIn2Te. Values from VASP.

Geometry as Quantum ESPRESSO input:
```
&SYSTEM
  ibrav = 0, nat = 4, ntyp = 3
/
ATOMIC_SPECIES
Pr 140.91 Pr.upf
Te 127.60 Te.upf
In 114.82 In.upf
CELL_PARAMETERS angstrom
-0.282 3.787 1.043
-3.160 2.102 -1.052
-6.022 -0.873 8.974
ATOMIC_POSITIONS crystal
Pr 0.000 0.000 0.000
Te 0.500 0.500 0.500
In 0.102 0.102 0.693
In 0.898 0.898 0.307
```

Results
total energy: -3.333 eV/atom
M_tot: 0.00 μB per formula unit



Entry 3:
## Pr3InTe4 (PBE-GGA)

Data for a relaxed structure of Pr3InTe4. Values from VASP.

Geometry as Quantum ESPRESSO input:
```
&SYSTEM
  ibrav = 0, nat = 16, ntyp = 3
/
ATOMIC_SPECIES
Pr 140.91 Pr.upf
Te 127.60 Te.upf
In 114.82 In.upf
CELL_PARAMETERS angstrom
4.514 0.000 0.000
-2.257 3.909 0.000
0.000 0.000 31.483
ATOMIC_POSITIONS crystal
Pr 0.000 0.000 0.000
Pr 0.000 0.000 0.500
Pr 0.333 0.667 0.881
Pr 0.667 0.333 0.119
Pr 0.667 0.333 0.381
Pr 0.333 0.667 0.619
Te 0.667 0.333 0.941
Te 0.333 0.667 0.059
Te 0.333 0.667 0.441
Te 0.667 0.333 0.559
Te 0.000 0.000 0.822
Te 0.000 0.000 0.178
Te 0.000 0.000 0.322
Te 0.000 0.000 0.678
In 0.667 0.333 0.750
In 0.333 0.667 0.250
```

Results
total energy: -4.917 eV/atom
M_tot: 0.00 μB per formula unit



Entry 4:
## Pr7In2Te2 (PBE-GGA)

Data for a relaxed structure of Pr7In2Te2. Values from VASP.

Geometry as Quantum ESPRESSO input:
```
&SYSTEM
  ibrav = 0, nat = 11, ntyp = 3
/
ATOMIC_SPECIES
Pr 140.91 Pr.upf
In 114.82 In.upf
Te 127.60 Te.upf
CELL_PARAMETERS angstrom
-2.990 -2.712 -0.280
5.337 -8.866 -0.349
1.416 -5.475 8.674
ATOMIC_POSITIONS crystal
Pr 0.825 0.055 0.295
Pr 0.851 0.431 0.868
Pr 0.500 0.031 0.969
Pr 0.613 0.486 0.287
Pr 0.387 0.713 0.514
Pr 0.175 0.705 0.945
Pr 0.149 0.132 0.569
In 0.000 0.777 0.223
In 0.500 0.345 0.655
Te 0.744 0.845 0.667
Te 0.256 0.333 0.155
```

Results
total energy: -4.733 eV/atom
M_tot: 0.00 μB per formula unit



Entry 5:
## Pr4InTe3 (PBE-GGA)

Data for a relaxed structure of Pr4InTe3. Values from VASP.

Geometry as Quantum ESPRESSO input:
```
&SYSTEM
  ibrav = 0, nat = 8, ntyp = 3
/
ATOMIC_SPECIES
Pr 140.91 Pr.upf
Te 127.60 Te.upf
In 114.82 In.upf
CELL_PARAMETERS angstrom
-4.767 -4.294 -0.237
3.548 -3.727 -3.839
2.429 -2.982 5.140
ATOMIC_POSITIONS crystal
Pr 0.500 0.000 0.000
Pr 0.000 0.500 0.000
Pr 0.000 0.000 0.500
Pr 0.500 0.500 0.500
Te 0.000 0.500 0.500
Te 0.500 0.000 0.500
Te 0.500 0.500 0.000
In 0.000 0.000 0.000
```

Results
total energy: -5.134 eV/atom
M_tot: 0.00 μB per formula unit



Entry 6:
## Pr2InTe3 (PBE-GGA)

Data for a relaxed structure of Pr2InTe3. Values from VASP.

Geometry as Quantum ESPRESSO input:
```
&SYSTEM
  ibrav = 0, nat = 6, ntyp = 3
/
ATOMIC_SPECIES
Pr 140.91 Pr.upf
In 114.82 In.upf
Te 127.60 Te.upf
CELL_PARAMETERS angstrom
-0.301 3.975 0.318
-1.089 -0.518 5.448
9.490 -1.206 -1.075
ATOMIC_POSITIONS crystal
Pr 0.647 0.647 0.294
Pr 0.353 0.353 0.706
In 0.000 0.000 0.000
Te 0.000 0.500 0.000
Te 0.824 0.824 0.648
Te 0.176 0.176 0.352
```

Results
total energy: -4.520 eV/atom
M_tot: 0.00 μB per formula unit



no.,calculated volume (Å³/cell)
1,342.6
2,142.4
3,555.6
4,367.1
5,264.6
6,200.7